Entry 1:
# CaTa2V GGA-PBE relaxed
# E_form, eV/atom: 1.47
# Space group: No. 122
# Crystal system: tetragonal
# M_tot, Bohr magnetons per cell: 0.00
# Volume, Å³ per atom: 27.96
data_CaTa2V
_chemical_formula_sum 'Ca2 Ta4 V2'
_cell_length_a 9.477
_cell_length_b 9.477
_cell_length_c 9.477
_cell_angle_alpha 149.11
_cell_angle_beta 149.11
_cell_angle_gamma 44.25
_symmetry_space_group_name_H-M 'P 1'
_symmetry_Int_Tables_number 1
loop_
_symmetry_equiv_pos_as_xyz
'x,y,z'
loop_
_atom_site_label
_atom_site_type_symbol
_atom_site_fract_x
_atom_site_fract_y
_atom_site_fract_z
Ca1 Ca 0.000 0.000 0.000
Ca2 Ca 0.750 0.250 0.500
Ta1 Ta 0.373 0.125 0.748
Ta2 Ta 0.375 0.627 0.752
Ta3 Ta 0.377 0.625 0.252
Ta4 Ta 0.875 0.623 0.248
V1 V 0.250 0.750 0.500
V2 V 0.500 0.500 0.000



Entry 2:
# Pr4ErTl4 GGA-PBE relaxed
# E_form, eV/atom: -0.20
# Space group: No. 86
# Crystal system: tetragonal
# M_tot, Bohr magnetons per cell: 0.00
# Volume, Å³ per atom: 30.97
data_Pr4ErTl4
_chemical_formula_sum 'Pr8 Er2 Tl8'
_cell_length_a 9.386
_cell_length_b 9.386
_cell_length_c 6.327
_cell_angle_alpha 90.00
_cell_angle_beta 90.00
_cell_angle_gamma 90.00
_symmetry_space_group_name_H-M 'P 1'
_symmetry_Int_Tables_number 1
loop_
_symmetry_equiv_pos_as_xyz
'x,y,z'
loop_
_atom_site_label
_atom_site_type_symbol
_atom_site_fract_x
_atom_site_fract_y
_atom_site_fract_z
Pr1 Pr 0.079 0.825 0.116
Pr2 Pr 0.175 0.579 0.616
Pr3 Pr 0.325 0.921 0.616
Pr4 Pr 0.421 0.675 0.116
Pr5 Pr 0.579 0.325 0.884
Pr6 Pr 0.675 0.079 0.384
Pr7 Pr 0.825 0.421 0.384
Pr8 Pr 0.921 0.175 0.884
Er1 Er 0.250 0.250 0.750
Er2 Er 0.750 0.750 0.250
Tl1 Tl 0.048 0.151 0.375
Tl2 Tl 0.151 0.452 0.125
Tl3 Tl 0.349 0.048 0.125
Tl4 Tl 0.452 0.349 0.375
Tl5 Tl 0.548 0.651 0.625
Tl6 Tl 0.651 0.952 0.875
Tl7 Tl 0.849 0.548 0.875
Tl8 Tl 0.952 0.849 0.625



Entry 3:
# KMgCr2 GGA-PBE relaxed
# E_form, eV/atom: 0.55
# Space group: No. 99
# Crystal system: tetragonal
# M_tot, Bohr magnetons per cell: 0.69
# Volume, Å³ per atom: 22.79
data_KMgCr2
_chemical_formula_sum 'K1 Mg1 Cr2'
_cell_length_a 3.207
_cell_length_b 3.207
_cell_length_c 8.864
_cell_angle_alpha 90.00
_cell_angle_beta 90.00
_cell_angle_gamma 90.00
_symmetry_space_group_name_H-M 'P 1'
_symmetry_Int_Tables_number 1
loop_
_symmetry_equiv_pos_as_xyz
'x,y,z'
loop_
_atom_site_label
_atom_site_type_symbol
_atom_site_fract_x
_atom_site_fract_y
_atom_site_fract_z
K1 K 0.000 0.000 0.000
Mg1 Mg 0.500 0.500 0.365
Cr1 Cr 0.000 0.000 0.577
Cr2 Cr 0.500 0.500 0.687



Repeat the second record exactly.
# Pr4ErTl4 GGA-PBE relaxed
# E_form, eV/atom: -0.20
# Space group: No. 86
# Crystal system: tetragonal
# M_tot, Bohr magnetons per cell: 0.00
# Volume, Å³ per atom: 30.97
data_Pr4ErTl4
_chemical_formula_sum 'Pr8 Er2 Tl8'
_cell_length_a 9.386
_cell_length_b 9.386
_cell_length_c 6.327
_cell_angle_alpha 90.00
_cell_angle_beta 90.00
_cell_angle_gamma 90.00
_symmetry_space_group_name_H-M 'P 1'
_symmetry_Int_Tables_number 1
loop_
_symmetry_equiv_pos_as_xyz
'x,y,z'
loop_
_atom_site_label
_atom_site_type_symbol
_atom_site_fract_x
_atom_site_fract_y
_atom_site_fract_z
Pr1 Pr 0.079 0.825 0.116
Pr2 Pr 0.175 0.579 0.616
Pr3 Pr 0.325 0.921 0.616
Pr4 Pr 0.421 0.675 0.116
Pr5 Pr 0.579 0.325 0.884
Pr6 Pr 0.675 0.079 0.384
Pr7 Pr 0.825 0.421 0.384
Pr8 Pr 0.921 0.175 0.884
Er1 Er 0.250 0.250 0.750
Er2 Er 0.750 0.750 0.250
Tl1 Tl 0.048 0.151 0.375
Tl2 Tl 0.151 0.452 0.125
Tl3 Tl 0.349 0.048 0.125
Tl4 Tl 0.452 0.349 0.375
Tl5 Tl 0.548 0.651 0.625
Tl6 Tl 0.651 0.952 0.875
Tl7 Tl 0.849 0.548 0.875
Tl8 Tl 0.952 0.849 0.625



> What is the formula in the third record?

KMgCr2



Copy entry 3 word for word.
# KMgCr2 GGA-PBE relaxed
# E_form, eV/atom: 0.55
# Space group: No. 99
# Crystal system: tetragonal
# M_tot, Bohr magnetons per cell: 0.69
# Volume, Å³ per atom: 22.79
data_KMgCr2
_chemical_formula_sum 'K1 Mg1 Cr2'
_cell_length_a 3.207
_cell_length_b 3.207
_cell_length_c 8.864
_cell_angle_alpha 90.00
_cell_angle_beta 90.00
_cell_angle_gamma 90.00
_symmetry_space_group_name_H-M 'P 1'
_symmetry_Int_Tables_number 1
loop_
_symmetry_equiv_pos_as_xyz
'x,y,z'
loop_
_atom_site_label
_atom_site_type_symbol
_atom_site_fract_x
_atom_site_fract_y
_atom_site_fract_z
K1 K 0.000 0.000 0.000
Mg1 Mg 0.500 0.500 0.365
Cr1 Cr 0.000 0.000 0.577
Cr2 Cr 0.500 0.500 0.687